No. 1
In2Sn4Pb after structural relaxation, computed with PBE.

Output
M_tot   0.00 μB/cell
Crystal system   orthorhombic
ΔH_f (0 K)   131 meV/atom
Space group   Cmce
ΔE to the lowest computed polymorph   25.5 meV/atom

Cell lengths 7.099, 7.099, 9.012 Å; angles 90.00, 90.00, 68.48 degrees
Element x y z (fractional)
In  0.216  0.216  0.000
In  0.284  0.284  0.500
In  0.716  0.716  0.500
In  0.784  0.784  0.000
Sn  0.010  0.490  0.750
Sn  0.142  0.858  0.836
Sn  0.358  0.642  0.336
Sn  0.490  0.010  0.250
Sn  0.510  0.990  0.750
Sn  0.642  0.358  0.664
Sn  0.858  0.142  0.164
Sn  0.990  0.510  0.250
Pb  0.000  0.000  0.500
Pb  0.500  0.500  0.000

No. 2
InSn2Pb after structural relaxation, computed with PBE.

Output
M_tot   0.00 μB/cell
Crystal system   monoclinic
ΔH_f (0 K)   94 meV/atom
Space group   P2_1/m
ΔE to the lowest computed polymorph   54.6 meV/atom

Cell lengths 5.194, 8.953, 5.575 Å; angles 90.00, 113.27, 90.00 degrees
Element x y z (fractional)
In  0.111  0.250  0.459
In  0.889  0.750  0.541
Sn  0.232  0.565  0.263
Sn  0.232  0.935  0.263
Sn  0.768  0.065  0.737
Sn  0.768  0.435  0.737
Pb  0.466  0.250  0.076
Pb  0.534  0.750  0.924

No. 3
InSn3Pb4 after structural relaxation, computed with PBE.

Output
M_tot   0.00 μB/cell
Crystal system   tetragonal
ΔH_f (0 K)   55 meV/atom
Space group   P4/mmm

Cell lengths 4.212, 4.212, 13.563 Å; angles 90.00, 90.00, 90.00 degrees
Element x y z (fractional)
In  0.000  0.000  0.000
Sn  0.000  0.000  0.248
Sn  0.000  0.000  0.500
Sn  0.000  0.000  0.752
Pb  0.500  0.500  0.128
Pb  0.500  0.500  0.376
Pb  0.500  0.500  0.624
Pb  0.500  0.500  0.872

No. 4
InSn2Pb after structural relaxation, computed with PBE.

Output
M_tot   0.00 μB/cell
Crystal system   tetragonal
ΔH_f (0 K)   169 meV/atom
Space group   I-42d
ΔE to the lowest computed polymorph   128.9 meV/atom

Cell lengths 8.160, 8.160, 8.160 Å; angles 130.62, 130.62, 72.41 degrees
Element x y z (fractional)
In  0.000  0.000  0.000
In  0.750  0.250  0.500
Sn  0.115  0.625  0.990
Sn  0.375  0.365  0.490
Sn  0.635  0.125  0.010
Sn  0.875  0.885  0.510
Pb  0.250  0.750  0.500
Pb  0.500  0.500  0.000

No. 5
In6Sn2Pb after structural relaxation, computed with PBE.

Output
M_tot   0.00 μB/cell
Crystal system   hexagonal
ΔH_f (0 K)   45 meV/atom
Space group   P-6m2
ΔE to the lowest computed polymorph   8.1 meV/atom

Cell lengths 3.464, 3.464, 24.326 Å; angles 90.00, 90.00, 120.00 degrees
Element x y z (fractional)
In  0.000  0.000  0.063
In  0.000  0.000  0.278
In  0.000  0.000  0.722
In  0.000  0.000  0.937
In  0.333  0.667  0.386
In  0.333  0.667  0.614
Sn  0.333  0.667  0.170
Sn  0.333  0.667  0.830
Pb  0.000  0.000  0.500

No. 6
In4Sn12Pb after structural relaxation, computed with PBE.

Output
M_tot   0.00 μB/cell
Crystal system   triclinic
ΔH_f (0 K)   76 meV/atom
Space group   P-1

Cell lengths 7.674, 8.813, 9.081 Å; angles 98.38, 109.60, 114.92 degrees
Element x y z (fractional)
In  0.000  0.000  0.000
In  0.000  0.500  0.500
In  0.500  0.000  0.500
In  0.500  0.500  0.000
Sn  0.002  0.229  0.720
Sn  0.111  0.174  0.413
Sn  0.255  0.824  0.895
Sn  0.351  0.550  0.358
Sn  0.397  0.146  0.769
Sn  0.472  0.257  0.253
Sn  0.528  0.743  0.747
Sn  0.603  0.854  0.231
Sn  0.649  0.450  0.642
Sn  0.745  0.176  0.105
Sn  0.889  0.826  0.587
Sn  0.998  0.771  0.280
Pb  0.000  0.500  0.000

No. 7
In2SnPb3 after structural relaxation, computed with PBE.

Output
M_tot   0.00 μB/cell
Crystal system   monoclinic
ΔH_f (0 K)   22 meV/atom
Space group   C2/m
ΔE to the lowest computed polymorph   6.7 meV/atom

Cell lengths 9.382, 9.382, 11.780 Å; angles 111.92, 111.92, 21.67 degrees
Element x y z (fractional)
In  0.081  0.081  0.463
In  0.255  0.255  0.385
In  0.745  0.745  0.615
In  0.919  0.919  0.537
Sn  0.420  0.420  0.298
Sn  0.580  0.580  0.702
Pb  0.082  0.082  0.955
Pb  0.244  0.244  0.866
Pb  0.412  0.412  0.782
Pb  0.588  0.588  0.218
Pb  0.756  0.756  0.134
Pb  0.918  0.918  0.045

No. 8
In3Sn2Pb3 after structural relaxation, computed with PBE.

Output
M_tot   0.00 μB/cell
Crystal system   triclinic
ΔH_f (0 K)   23 meV/atom
Space group   P-1

Cell lengths 4.748, 4.910, 10.477 Å; angles 77.49, 77.09, 89.61 degrees
Element x y z (fractional)
In  0.000  0.000  0.000
In  0.125  0.624  0.749
In  0.875  0.376  0.251
Sn  0.249  0.252  0.500
Sn  0.751  0.748  0.500
Pb  0.373  0.874  0.255
Pb  0.500  0.500  0.000
Pb  0.627  0.126  0.745

No. 9
In4SnPb4 after structural relaxation, computed with PBE.

Output
M_tot   0.00 μB/cell
Crystal system   tetragonal
ΔH_f (0 K)   20 meV/atom
Space group   I4/mmm

Cell lengths 7.775, 7.775, 7.775 Å; angles 95.62, 95.62, 143.53 degrees
Element x y z (fractional)
In  0.000  0.334  0.334
In  0.000  0.666  0.666
In  0.334  0.000  0.334
In  0.666  0.000  0.666
Sn  0.000  0.000  0.000
Pb  0.334  0.334  0.669
Pb  0.334  0.666  0.000
Pb  0.666  0.334  0.000
Pb  0.666  0.666  0.331

No. 10
In7SnPb2 after structural relaxation, computed with PBE.

Output
M_tot   0.00 μB/cell
Crystal system   orthorhombic
ΔH_f (0 K)   110 meV/atom
Space group   Cmmm

Cell lengths 10.755, 10.755, 3.519 Å; angles 90.00, 90.00, 131.56 degrees
Element x y z (fractional)
In  0.000  0.000  0.000
In  0.138  0.862  0.500
In  0.190  0.388  0.000
In  0.388  0.190  0.000
In  0.612  0.810  0.000
In  0.810  0.612  0.000
In  0.862  0.138  0.500
Sn  0.500  0.500  0.500
Pb  0.274  0.726  0.000
Pb  0.726  0.274  0.000

No. 11
In3SnPb4 after structural relaxation, computed with PBE.

Output
M_tot   0.00 μB/cell
Crystal system   monoclinic
ΔH_f (0 K)   18 meV/atom
Space group   C2/m

Cell lengths 10.713, 10.713, 4.827 Å; angles 102.86, 102.86, 26.04 degrees
Element x y z (fractional)
In  0.000  0.000  0.000
In  0.250  0.250  0.250
In  0.750  0.750  0.750
Sn  0.500  0.500  0.500
Pb  0.124  0.124  0.625
Pb  0.376  0.376  0.875
Pb  0.624  0.624  0.125
Pb  0.876  0.876  0.375